Record 1
# CoBiWC2

CoBiWC2 after structural relaxation (GGA-PBE, Alexandria).

The structure belongs to space group P4/mmm (No. 123); the cell edges are 4.290, 4.290 and 5.414 Å and the angles 90.00°, 90.00° and 90.00°. The asymmetric unit holds Co at (0.000, 0.000, 0.000), Bi at (0.500, 0.500, 0.500), W at (0.500, 0.500, 0.000) and C at (0.000, 0.500, 0.500).

For the density of states at the Fermi level, the calculation gives 9.78 states/eV per cell. The formation energy is 3.783 eV per atom. As for the calculated density: 7929 kg/m3.

---

Record 2
# ZnCoBiC2

ZnCoBiC2 after structural relaxation (GGA-PBE, Alexandria).

The structure belongs to space group P4/mmm (No. 123); the cell edges are 3.971, 3.971 and 4.709 Å and the angles 90.00°, 90.00° and 90.00°. The asymmetric unit holds Zn at (0.000, 0.000, 0.000), Co at (0.000, 0.000, 0.500), Bi at (0.500, 0.500, 0.500) and C at (0.000, 0.500, 0.000).

For the density of states at the Fermi level, the calculation gives 4.24 states/eV per cell. The formation energy is 2.071 eV per atom. As for the calculated density: 7989 kg/m3.

---

Record 3
# Cr3BiC

Cr3BiC after structural relaxation (GGA-PBE, Alexandria).

The structure belongs to space group Pm-3m (No. 221); the cell edges are 4.041, 4.041 and 4.041 Å and the angles 90.00°, 90.00° and 90.00°. The asymmetric unit holds Cr at (0.000, 0.000, 0.500), Bi at (0.500, 0.500, 0.500) and C at (0.000, 0.000, 0.000).

For the density of states at the Fermi level, the calculation gives 5.76 states/eV per cell. The formation energy is 0.358 eV per atom. As for the calculated density: 9487 kg/m3.

---

Record 4
# CrBi2C

CrBi2C after structural relaxation (GGA-PBE, Alexandria).

The structure belongs to space group I-42d (No. 122); the cell edges are 6.390, 6.390 and 9.765 Å and the angles 90.00°, 90.00° and 90.00°. The asymmetric unit holds Cr at (0.000, 0.000, 0.000), Bi at (0.191, 0.250, 0.625) and C at (0.000, 0.000, 0.500).

For the density of states at the Fermi level, the calculation gives 0.86 states/eV per cell. The formation energy is 1.200 eV per atom. As for the calculated density: 8028 kg/m3.

---

Record 5
# Cr3BiC

Cr3BiC after structural relaxation (GGA-PBE, Alexandria).

The structure belongs to space group Pm-3m (No. 221); the cell edges are 5.254, 5.254 and 5.254 Å and the angles 90.00°, 90.00° and 90.00°. The asymmetric unit holds Cr at (0.000, 0.000, 0.500), Bi at (0.000, 0.000, 0.000) and C at (0.500, 0.500, 0.500).

For the density of states at the Fermi level, the calculation gives 2.72 states/eV per cell. The formation energy is 2.514 eV per atom. As for the calculated density: 4315 kg/m3.

---

- Among the records above, which one has the lowest calculated density?
  number 5